[1]
# InPdSe

A relaxed InPdSe crystal (GGA-PBE, Alexandria).

```
InPdSe
1.0
-0.2160 0.7629 -4.1583
-5.2651 0.7274 0.4066
0.8522 5.6378 0.9564
Pd Se In
2 2 2
Direct
0.7512 0.8202 0.7668 Pd
0.2546 0.3202 0.2372 Pd
0.2526 0.6100 0.5931 Se
0.7533 0.1100 0.4109 Se
0.7556 0.3245 0.9036 In
0.2497 0.8245 0.1003 In
```

Computed properties:
raw formation energy: -286 meV per atom

=====

[2]
# InC2N

A relaxed InC2N crystal (GGA-PBE, Alexandria).

```
InC2N
1.0
4.7350 0.0000 0.0000
0.0000 4.7350 0.0000
2.3675 2.3675 3.5496
N C In
2 4 2
Direct
0.5000 0.5000 0.0000 N
0.2500 0.7500 0.5000 N
0.2324 0.6250 0.2500 C
0.5176 0.1250 0.2500 C
0.8750 0.7676 0.7500 C
0.3750 0.4824 0.7500 C
0.0000 0.0000 0.0000 In
0.7500 0.2500 0.5000 In
```

Computed properties:
excess energy over the best structure of this formula in the dataset: 1.1622 eV per atom
raw formation energy: 1657 meV per atom

=====

- What is the raw formation energy in the first record?
  -286 meV per atom